1.
Entry from Alexandria: SmAl3H12 after structural relaxation (PBE-GGA).

- total DFT energy (no corrections) (eV per atom) = -3.6008
- volume (Å³ per cell) = 1290.8

Unit cell a=8.0398 b=8.0398 c=23.0582 alpha=90.00 beta=90.00 gamma=120.00
Closest atoms and distances in Å follow each position.
Space group R3c (No. 161, hexagonal axes)
One atom of each set of equivalent atoms:
Sm 0.0000 0.0000 0.0000 x6  9 H 2.19-2.30
Al 0.0089 0.3159 0.3871 x18  4 H 1.58-1.68
H 0.0125 0.4655 0.6623 x18  1 Al 1.68
H 0.1927 0.4246 0.8740 x18  1 Al 1.58
H 0.2008 0.4505 0.0981 x18  1 Al 1.64
H 0.2058 0.4324 0.7369 x18  1 Al 1.66

***

2.
Entry from Alexandria: Mn3GeRh after structural relaxation (PBE-GGA).

- total DFT energy (no corrections) (eV per atom) = -6.9953
- volume (Å³ per cell) = 92.4
- formation energy from the elements (eV/atom) = 0.900

Unit cell a=4.5204 b=4.5204 c=4.5204 alpha=90.00 beta=90.00 gamma=90.00
Closest atoms and distances in Å follow each position.
Space group Pm-3m (No. 221)
One atom of each set of equivalent atoms:
Mn 0.0000 0.0000 0.5000 x3  2 Ge 2.26
Ge 0.0000 0.0000 0.0000 x1  6 Mn 2.26
Rh 0.5000 0.5000 0.5000 x1  12 Mn 3.20

***

3.
Entry from Alexandria: CeGdN after structural relaxation (PBE-GGA).

- formation energy (no corrections) (eV/atom) = -0.934
- total DFT energy (no corrections) (eV per atom) = -10.3808
- volume (Å³ per cell) = 66.6
- distance to the lowest polymorph of the same formula (meV/atom) = 0

Unit cell a=3.5383 b=3.5383 c=6.1444 alpha=90.00 beta=90.00 gamma=120.00
Closest atoms and distances in Å follow each position.
Space group P3m1 (No. 156)
One atom of each set of equivalent atoms:
Ce 0.0000 0.0000 0.0000 x1  3 N 2.47
Gd 0.6667 0.3333 0.4496 x1  3 N 2.46
N 0.3333 0.6667 0.2256 x1  3 Gd 2.46, 3 Ce 2.47

***

4.
Entry from Alexandria: AlMo4Au after structural relaxation (PBE-GGA).

- total DFT energy (no corrections) (eV per atom) = -7.9969
- volume (Å³ per cell) = 407.3
- formation energy from the elements (eV/atom) = 0.394

Unit cell a=7.4127 b=7.4127 c=7.4127 alpha=90.00 beta=90.00 gamma=90.00
Closest atoms and distances in Å follow each position.
Space group F-43m (No. 216)
One atom of each set of equivalent atoms:
Al 0.0000 0.0000 0.0000 x4  12 Mo 3.07, 4 Au 3.21
Mo 0.1247 0.1247 0.6247 x16  6 Mo 2.61-2.63
Au 0.2500 0.2500 0.2500 x4  12 Mo 3.07, 4 Al 3.21